Here is an optimized crystal structure of InMoC3 from the Alexandria database. Energies are from PBE.

The value obtained for the theoretical density is 5.55 Mg/m³. The calculation puts the energy relative to the elements at 320.6 kJ/mol of atoms. The volume comes out at 73.80 Å³/cell. The value obtained for the density of states at the Fermi level is 4.37 states/eV per cell. As for the relative energy among the computed polymorphs: 1556 meV/atom. The symmetry is No. 221. The total magnetic moment comes out at 0.361 μB/atom.

Cell lengths 4.1945, 4.1945, 4.1945 Å; angles 90.00, 90.00, 90.00 degrees
Last column: nearest neighbours and their distance in Å.
Atoms (fractional coordinates):
Mo  0.5000  0.5000  0.5000  12 C 2.97
C  0.0000  0.5000  0.0000  2 In 2.10
C  0.0000  0.0000  0.5000  2 In 2.10
C  0.5000  0.0000  0.0000  2 In 2.10
In  0.0000  0.0000  0.0000  6 C 2.10